Record 1
! CrIn2As, relaxed, DFT PBE; values from VASP
! Symmetry: P4/mmm (123)
! Magnetic moment (μB/atom): 0.992
! Calculated total energy (eV/atom): -4.65
&SYSTEM
  ibrav = 0, nat = 4, ntyp = 3
/
ATOMIC_SPECIES
Cr 52.00 Cr.upf
In 114.82 In.upf
As 74.92 As.upf
CELL_PARAMETERS angstrom
4.398 0.000 0.000
0.000 4.398 0.000
0.000 0.000 4.385
ATOMIC_POSITIONS crystal
Cr 0.000 0.000 0.000
In 0.000 0.500 0.500
In 0.500 0.000 0.500
As 0.500 0.500 0.000

Record 2
! Ga2GePd5, relaxed, DFT PBE; values from VASP
! Symmetry: Pbam (55)
! Magnetic moment (μB/atom): 0.000
! Calculated total energy (eV/atom): -5.14
&SYSTEM
  ibrav = 0, nat = 16, ntyp = 3
/
ATOMIC_SPECIES
Ga 69.72 Ga.upf
Ge 72.64 Ge.upf
Pd 106.42 Pd.upf
CELL_PARAMETERS angstrom
5.588 0.000 0.000
0.000 10.662 0.000
0.000 0.000 4.086
ATOMIC_POSITIONS crystal
Ga 0.127 0.153 0.000
Ga 0.373 0.653 0.000
Ga 0.627 0.347 0.000
Ga 0.873 0.847 0.000
Ge 0.000 0.500 0.500
Ge 0.500 0.000 0.500
Pd 0.000 0.000 0.500
Pd 0.115 0.725 0.500
Pd 0.181 0.400 0.000
Pd 0.319 0.900 0.000
Pd 0.385 0.225 0.500
Pd 0.500 0.500 0.500
Pd 0.615 0.775 0.500
Pd 0.681 0.100 0.000
Pd 0.819 0.600 0.000
Pd 0.885 0.275 0.500

Record 3
! RbMg2SbCl8, relaxed, DFT PBE; values from VASP
! Symmetry: R-3 (148)
! Magnetic moment (μB/atom): 0.000
! Calculated total energy (eV/atom): -3.40
&SYSTEM
  ibrav = 0, nat = 12, ntyp = 4
/
ATOMIC_SPECIES
Rb 85.47 Rb.upf
Mg 24.30 Mg.upf
Sb 121.76 Sb.upf
Cl 35.45 Cl.upf
CELL_PARAMETERS angstrom
3.269 1.887 10.510
-3.269 1.887 10.510
0.000 -3.775 10.510
ATOMIC_POSITIONS crystal
Rb 0.000 0.000 0.000
Mg 0.242 0.242 0.242
Mg 0.758 0.758 0.758
Sb 0.500 0.500 0.500
Cl 0.127 0.786 0.436
Cl 0.214 0.564 0.873
Cl 0.314 0.314 0.314
Cl 0.436 0.127 0.786
Cl 0.564 0.873 0.214
Cl 0.686 0.686 0.686
Cl 0.786 0.436 0.127
Cl 0.873 0.214 0.564

Record 4
! La2TaMo, relaxed, DFT PBE; values from VASP
! Symmetry: Cmm2 (35)
! Magnetic moment (μB/atom): 0.000
! Calculated total energy (eV/atom): -7.76
&SYSTEM
  ibrav = 0, nat = 4, ntyp = 3
/
ATOMIC_SPECIES
La 138.91 La.upf
Ta 180.95 Ta.upf
Mo 95.94 Mo.upf
CELL_PARAMETERS angstrom
1.709 -2.658 0.000
1.709 2.658 0.000
0.000 0.000 10.776
ATOMIC_POSITIONS crystal
La 0.000 0.000 0.000
La 0.500 0.500 0.337
Ta 0.500 0.500 0.745
Mo 0.000 0.000 0.565